The following is a DFT calculation (meta-GGA SCAN) of RbCr2I2 at its PBEsol-relaxed geometry.

a b c (Å): 6.0504 6.0504 6.0504
angles (deg): 127.27 127.27 77.82
Closest atoms and distances in Å follow each position.
Fractional coordinates of all 5 atoms:
Rb 0.0000 0.0000 0.0000  8 I 3.57, 10 Cr 3.85-3.90
Cr 0.4090 0.4090 0.0000  1 Cr 1.71
Cr 0.5910 0.5910 0.0000  1 Cr 1.71
I 0.2500 0.7500 0.5000  4 Cr 3.08
I 0.7500 0.2500 0.5000  4 Cr 3.08

## Properties
calculated volume: 27.20 A^3/atom
N(E_F): 0.584 states/eV per atom
uncorrected formation energy: 0.38 eV/atom
energy: -129.113 eV/cell